AlPb2Cl | meta-GGA SCAN | single point on PBEsol structure

Structure (CIF):
```
data_AlPb2Cl
_chemical_formula_sum 'Al1 Pb2 Cl1'
_space_group_name_H-M_alt 'P 1'
_space_group_IT_number 1
_space_group_name_Hall 'P 1'
_cell_length_a 4.173
_cell_length_b 4.173
_cell_length_c 6.747
_cell_angle_alpha 108.02
_cell_angle_beta 108.02
_cell_angle_gamma 90.00
loop_
_atom_site_label
_atom_site_type_symbol
_atom_site_fract_x
_atom_site_fract_y
_atom_site_fract_z
_atom_site_occupancy
Pb1 Pb 0.000 0.000 0.000 1
Pb2 Pb 0.750 0.250 0.500 1
Al1 Al 0.500 0.500 0.000 1
Cl1 Cl 0.250 0.750 0.500 1
```

Output
Total magnetization: 0.0 Bohr magnetons per cell
V: 26.42 A^3/atom
D(E_F): 1.86 states/eV/cell
Space group: I-4m2 (119)
Energy relative to the elements, uncorrected: -0.027 eV/atom
Crystal system: tetragonal